## Cs2KCoO4 (PBE+U)

Data for Cs2KCoO4 after structural relaxation.

Cell: 14.269 13.416 6.548 Å, 83.70 69.16 27.14°
Atoms (fractional coordinates):
Cs  0.065  0.065  0.685
Cs  0.315  0.315  0.935
Cs  0.685  0.685  0.065
Cs  0.935  0.935  0.315
K  0.125  0.125  0.125
K  0.875  0.875  0.875
Co  0.375  0.375  0.375
Co  0.625  0.625  0.625
O  0.092  0.586  0.479
O  0.343  0.479  0.586
O  0.414  0.908  0.657
O  0.479  0.343  0.092
O  0.521  0.657  0.908
O  0.586  0.092  0.343
O  0.657  0.521  0.414
O  0.908  0.414  0.521

Computed properties:
As for the space group: No. 70. Its final energy is -0.164 hartree per atom. The calculation puts the magnetic moment at 0.187 Bohr magnetons per cell.